1.
4
Lattice="-0.5503 2.9671 1.3638 -3.1267 -0.8776 0.6479 2.2703 -2.8440 7.1038" Properties=species:S:1:pos:R:3 comment="DyUGe2 | Alexandria via LeMat-Bulk | GGA-PBE | relaxed" spacegroup="P4/mmm, No. 123" crystal_system=tetragonal e_tot_ev_per_atom=-6.647 pbc="T T T"
Ge 1.7064 -2.1376 5.3393
Ge 0.5639 -0.7064 1.7645
U -1.8385 1.0447 1.0058
Dy -0.7033 -0.3773 4.5577

---

2.
4
Lattice="4.2092 0.0000 0.0000 2.1046 3.6453 0.0000 2.1046 1.2151 5.0476" Properties=species:S:1:pos:R:3 comment="DyVGe2 | Alexandria via LeMat-Bulk | GGA-PBE | relaxed" spacegroup="R-3m, No. 166" crystal_system=trigonal e_tot_ev_per_atom=-6.138 pbc="T T T"
Ge 6.3138 3.6453 3.4273
Ge 2.1046 1.2151 1.6204
V 4.2092 2.4302 2.5238
Dy 0.0000 0.0000 0.0000

---

3.
13
Lattice="-4.9398 0.4152 -1.7231 -4.5603 -1.6542 4.6827 -2.7914 5.9644 1.4474" Properties=species:S:1:pos:R:3 comment="DyV6Ge6 | Alexandria via LeMat-Bulk | GGA-PBE | relaxed" spacegroup="Immm, No. 71" crystal_system=orthorhombic e_tot_ev_per_atom=-7.128 pbc="T T T"
Dy 0.0000 0.0000 0.0000
V -2.2802 -0.8271 2.3413
V -4.7501 -0.6195 1.4798
V -1.3957 2.9822 0.7237
V -3.8656 3.1898 -0.1379
V -6.5815 0.4859 3.0005
V -5.7100 4.2395 1.4065
Ge -6.5468 3.0104 3.5093
Ge -5.7447 1.7150 0.8976
Ge -3.3973 3.3549 2.5555
Ge -3.9544 0.9553 3.5745
Ge -2.8681 0.8507 0.4351
Ge -9.4233 3.8746 3.9718

---

4.
20
Lattice="5.5968 0.0000 0.0000 0.0000 5.3290 0.0000 0.0000 0.0000 12.8267" Properties=species:S:1:pos:R:3 comment="DyVGe3 | Alexandria via LeMat-Bulk | GGA-PBE | relaxed" spacegroup="Pbcm, No. 57" crystal_system=orthorhombic e_tot_ev_per_atom=-5.875 pbc="T T T"
Dy 4.1976 2.6564 8.8151
Dy 1.3992 2.6726 4.0116
Dy 4.1976 5.3209 4.0116
Dy 1.3992 0.0081 8.8151
V 2.7984 1.3323 1.1402
V 0.0000 3.9968 11.6865
V 2.7984 3.9968 11.6865
V 0.0000 1.3323 1.1402
Ge 0.0000 1.3323 6.3977
Ge 2.7984 3.9968 6.4290
Ge 0.0000 3.9968 6.4290
Ge 2.7984 1.3323 6.3977
Ge 1.3992 0.9145 11.8426
Ge 4.1976 4.4145 0.9841
Ge 1.3992 3.5790 0.9841
Ge 4.1976 1.7500 11.8426
Ge 1.3992 2.6768 9.9890
Ge 4.1976 2.6522 2.8378
Ge 1.3992 0.0123 2.8378
Ge 4.1976 5.3167 9.9890

---

5.
18
Lattice="6.8515 -0.0402 0.0000 -2.2895 6.5622 0.0000 0.0000 0.0000 6.9466" Properties=species:S:1:pos:R:3 comment="Dy2V3Ge4 | Alexandria via LeMat-Bulk | GGA-PBE | relaxed" spacegroup="P2_1/c, No. 14" crystal_system=monoclinic e_tot_ev_per_atom=-6.698 pbc="T T T"
Dy 3.3831 1.2030 2.2914
Dy 4.6047 5.2990 5.7647
Dy 1.1789 5.3191 4.6552
Dy -0.0427 1.2231 1.1819
V -1.1447 3.2811 3.4733
V 2.2810 3.2610 0.0000
V 4.5315 1.6615 5.7843
V 3.4562 4.8405 2.3109
V 0.0304 4.8606 1.1624
V 1.1058 1.6815 4.6357
Ge 5.7019 0.5778 3.7999
Ge 2.2858 5.9242 0.3266
Ge -1.1399 5.9442 3.1468
Ge 2.2762 0.5979 6.6201
Ge 4.7788 3.2463 0.9354
Ge 3.2090 3.2557 4.4087
Ge -0.2168 3.2758 6.0112
Ge 1.3530 3.2663 2.5379

---

6.
12
Lattice="4.3637 0.0000 0.0000 0.0000 5.8755 0.0000 0.0000 0.0000 9.7796" Properties=species:S:1:pos:R:3 comment="DyVGe | Alexandria via LeMat-Bulk | GGA-PBE | relaxed" spacegroup="Pnma, No. 62" crystal_system=orthorhombic e_tot_ev_per_atom=-6.278 pbc="T T T"
Dy 3.2728 2.2031 6.0843
Dy 1.0909 5.1408 8.5851
Dy 1.0909 3.6724 3.6953
Dy 3.2728 0.7347 1.1945
V 3.2728 5.6616 4.2283
V 1.0909 2.7238 0.6616
V 1.0909 0.2139 5.5514
V 3.2728 3.1516 9.1181
Ge 3.2728 5.0979 6.6535
Ge 1.0909 2.1602 8.0160
Ge 1.0909 0.7775 3.1262
Ge 3.2728 3.7153 1.7636

---

7.
7
Lattice="-4.5064 -0.9058 3.8673 3.8688 0.0471 4.5951 -0.1947 4.6449 -3.8421" Properties=species:S:1:pos:R:3 comment="Dy2VGe4 | Alexandria via LeMat-Bulk | GGA-PBE | relaxed" spacegroup="I4/mmm, No. 139" crystal_system=tetragonal e_tot_ev_per_atom=-5.632 pbc="T T T"
Dy 1.6779 2.1314 2.4921
Dy -2.5097 1.6549 2.1282
V 3.8684 0.0471 4.5950
Ge -0.4525 -0.6105 6.0175
Ge -0.1833 -0.2480 2.4450
Ge -0.2968 2.4343 0.2247
Ge -0.5361 1.3518 4.3956

---

8.
4
Lattice="3.6742 0.0000 0.0000 1.8371 3.1819 0.0000 1.8371 1.0606 9.9867" Properties=species:S:1:pos:R:3 comment="DyY2Ge | Alexandria via LeMat-Bulk | GGA-PBE | relaxed" spacegroup="R-3m, No. 166" crystal_system=trigonal e_tot_ev_per_atom=-5.764 pbc="T T T"
Y 1.8371 1.0606 2.0089
Y 5.5113 3.1819 7.9778
Ge 0.0000 0.0000 0.0000
Dy 3.6742 2.1213 4.9933

---

9.
3
Lattice="-4.3048 -2.1711 -0.8023 -0.4013 -4.8544 0.4024 -2.4885 -1.9456 3.7297" Properties=species:S:1:pos:R:3 comment="DyYGe | Alexandria via LeMat-Bulk | GGA-PBE | relaxed" spacegroup="F-43m, No. 216" crystal_system=cubic e_tot_ev_per_atom=-5.783 pbc="T T T"
Y -3.5973 -4.4856 1.6648
Ge -1.7986 -2.2428 0.8324
Dy 0.0000 0.0000 0.0000

---

10.
6
Lattice="4.3681 0.0000 0.0000 0.0000 4.3676 0.0000 0.0000 0.0000 8.1080" Properties=species:S:1:pos:R:3 comment="DyYGe | Alexandria via LeMat-Bulk | GGA-PBE | relaxed" spacegroup="P4/nmm, No. 129" crystal_system=tetragonal e_tot_ev_per_atom=-5.835 pbc="T T T"
Dy 2.1841 0.0000 5.2179
Dy 0.0000 2.1838 2.8901
Ge 2.1841 0.0000 2.2478
Ge 0.0000 2.1838 5.8602
Y 0.0000 0.0000 8.1065
Y 2.1841 2.1838 0.0015

---

11.
6
Lattice="4.2122 0.6516 -0.2398 3.2687 6.8176 -0.0573 1.9904 3.2868 5.8934" Properties=species:S:1:pos:R:3 comment="DyYGe | Alexandria via LeMat-Bulk | GGA-PBE | relaxed" spacegroup="C2/m, No. 12" crystal_system=monoclinic e_tot_ev_per_atom=-5.814 pbc="T T T"
Dy 6.6342 9.3877 5.4310
Dy 7.0795 6.5169 5.3434
Y 5.0831 4.5897 3.0927
Y 6.6402 8.0282 1.7883
Ge 4.6505 7.6601 3.8371
Ge 2.8604 4.3064 1.2838

---

12.
18
Lattice="-2.6291 -4.7162 -2.1995 7.3288 -1.6704 -5.1782 3.5585 -5.0999 6.6816" Properties=species:S:1:pos:R:3 comment="DyY4Ge4 | Alexandria via LeMat-Bulk | GGA-PBE | relaxed" spacegroup="P4_2/n, No. 86" crystal_system=tetragonal e_tot_ev_per_atom=-6.047 pbc="T T T"
Dy 0.0000 0.0000 0.0000
Dy 4.1291 -5.7433 -0.3481
Y 4.6088 -6.9920 3.5284
Y 4.9529 -9.3786 0.5071
Y 4.2525 -3.4128 -3.7201
Y 3.0789 -3.8511 2.8051
Y 7.4345 -7.8512 -1.5514
Y 7.2055 -4.0009 -1.8062
Y 1.2793 -5.7424 -2.8984
Y 0.2208 -4.7170 0.3508
Ge 5.3752 -6.0803 -2.8974
Ge 2.2766 -6.4942 1.6938
Ge 8.6490 -5.6947 0.0898
Ge 2.7820 -9.0651 2.4401
Ge 3.4537 -6.0496 -4.8284
Ge 2.4973 -3.5796 -1.2543
Ge 6.3674 -6.8189 1.0655
Ge 1.6318 -2.1636 0.9062

---

13.
18
Lattice="7.6265 -0.3414 0.0000 -2.8443 7.5116 0.0000 0.0000 0.0000 7.7787" Properties=species:S:1:pos:R:3 comment="Dy2Y3Ge4 | Alexandria via LeMat-Bulk | GGA-PBE | relaxed" spacegroup="P2_1/c, No. 14" crystal_system=monoclinic e_tot_ev_per_atom=-6.105 pbc="T T T"
Dy 3.6587 1.3468 2.5097
Dy 4.9368 5.6528 6.3991
Dy 1.1236 5.8235 5.2690
Dy -0.1546 1.5175 1.3796
Y -1.4221 3.7558 3.8894
Y 2.3911 3.5851 0.0000
Y 4.8267 1.5086 6.5147
Y 3.7688 5.4910 2.6253
Y -0.0444 5.6617 1.2640
Y 1.0134 1.6793 5.1534
Ge 5.9722 0.3944 4.1156
Ge 2.6233 6.6052 0.2262
Ge -1.1899 6.7758 3.6631
Ge 2.1589 0.5651 7.5525
Ge 5.2381 3.3968 1.0183
Ge 3.3574 3.6028 4.9077
Ge -0.4559 3.7735 6.7604
Ge 1.4249 3.5675 2.8710

---

14.
4
Lattice="4.0289 0.0000 -1.4691 0.0000 3.9739 0.0000 -0.1756 0.0000 5.7818" Properties=species:S:1:pos:R:3 comment="DyYGe2 | Alexandria via LeMat-Bulk | GGA-PBE | relaxed" spacegroup="Amm2, No. 38" crystal_system=orthorhombic e_tot_ev_per_atom=-5.959 pbc="T T T"
Dy 1.7169 1.9869 1.8246
Y 2.7321 0.0000 4.6113
Ge 0.5230 1.9869 4.8128
Ge 3.9247 0.0000 1.6199

---

15.
4
Lattice="-2.2421 -1.6843 1.5770 2.2645 -4.5363 -1.6255 3.0745 -0.0228 4.3468" Properties=species:S:1:pos:R:3 comment="DyYGe2 | Alexandria via LeMat-Bulk | GGA-PBE | relaxed" spacegroup="P4/mmm, No. 123" crystal_system=tetragonal e_tot_ev_per_atom=-5.690 pbc="T T T"
Y 1.5485 -3.1217 2.1492
Ge 1.5373 -0.0114 2.1734
Ge 1.1322 -2.2682 -0.8128
Dy -1.1210 -0.8422 0.7885

---

16.
4
Lattice="-0.6059 -1.8428 -3.1106 -1.4757 -3.3538 0.1142 -9.8432 2.2735 -1.5898" Properties=species:S:1:pos:R:3 comment="Dy2YGe | Alexandria via LeMat-Bulk | GGA-PBE | relaxed" spacegroup="R-3m, No. 166" crystal_system=trigonal e_tot_ev_per_atom=-5.291 pbc="T T T"
Y -5.9624 -1.4616 -2.2931
Ge 0.0000 0.0000 0.0000
Dy -2.5337 -0.9267 -1.1177
Dy -9.3911 -1.9965 -3.4686

---

17.
4
Lattice="-2.0865 1.6134 3.2305 -4.0485 0.9241 -0.3844 -3.6516 -5.3395 3.0000" Properties=species:S:1:pos:R:3 comment="DyYGe2 | Alexandria via LeMat-Bulk | GGA-PBE | relaxed" spacegroup="R-3m, No. 166" crystal_system=trigonal e_tot_ev_per_atom=-5.745 pbc="T T T"
Y -4.8933 -1.4010 2.9230
Ge -7.3441 -2.1175 4.3899
Ge -2.4425 -0.6845 1.4562
Dy 0.0000 0.0000 0.0000

---

18.
8
Lattice="-3.2264 0.2984 -2.2888 3.2706 -0.7858 -4.7130 -1.1104 -7.8627 0.5403" Properties=species:S:1:pos:R:3 comment="DyYGe2 | Alexandria via LeMat-Bulk | GGA-PBE | relaxed" spacegroup="Pmc2_1, No. 26" crystal_system=orthorhombic e_tot_ev_per_atom=-5.955 pbc="T T T"
Dy -0.7604 -2.6483 -2.7113
Dy -0.4589 -6.7855 -3.6757
Y -0.3278 -5.4570 -0.2493
Y 2.6414 -2.1056 -3.9980
Ge 1.3790 -4.7294 -2.5606
Ge 1.2453 -0.6326 -1.8380
Ge 0.8017 -4.1634 -5.1108
Ge -2.3323 -7.4752 -1.1246

---

19.
4
Lattice="4.0391 0.0000 -1.1544 0.0000 4.1100 0.0000 -0.5286 0.0000 5.7941" Properties=species:S:1:pos:R:3 comment="Dy2ZnGe | Alexandria via LeMat-Bulk | GGA-PBE | relaxed" spacegroup="Amm2, No. 38" crystal_system=orthorhombic e_tot_ev_per_atom=-4.395 pbc="T T T"
Dy 2.9278 2.0550 2.6008
Dy 0.2577 0.0000 0.9016
Zn 1.1056 0.0000 3.8686
Ge 2.0875 2.0550 -0.3395

---

20.
12
Lattice="5.4930 0.7805 -1.5084 -1.4406 5.3578 -1.5084 -0.4525 -0.6854 8.4723" Properties=species:S:1:pos:R:3 comment="Dy2ZnGe3 | Alexandria via LeMat-Bulk | GGA-PBE | relaxed" spacegroup="Fmmm, No. 69" crystal_system=orthorhombic e_tot_ev_per_atom=-4.615 pbc="T T T"
Dy 0.0665 3.8708 2.7277
Dy 3.0692 4.6491 -2.2850
Dy 3.5333 1.5821 2.7277
Dy 0.9831 1.4892 -0.7319
Zn 1.0532 1.5954 4.6607
Zn 2.5466 3.8575 0.7948
Ge 3.0134 0.8600 5.7975
Ge 3.9931 2.3439 -0.3421
Ge 0.5864 4.5929 -0.3421
Ge -0.3932 3.1090 5.7975
Ge 3.0518 4.6227 3.0301
Ge 0.5481 0.8302 2.4253

---

Number 1: N(E_F) 1.753 states/eV/atom. Number 2: N(E_F) 0.907 states/eV/atom. Number 3: N(E_F) 0.461 states/eV/atom. Number 4: N(E_F) 0.768 states/eV/atom. Number 5: N(E_F) 0.714 states/eV/atom. Number 6: N(E_F) 0.969 states/eV/atom. Number 7: N(E_F) 0.479 states/eV/atom. Number 8: N(E_F) 1.564 states/eV/atom. Number 9: N(E_F) 0.923 states/eV/atom. Number 10: N(E_F) 1.033 states/eV/atom. Number 11: N(E_F) 0.678 states/eV/atom. Number 12: N(E_F) 1.025 states/eV/atom. Number 13: N(E_F) 0.534 states/eV/atom. Number 14: N(E_F) 0.654 states/eV/atom. Number 15: N(E_F) 0.915 states/eV/atom. Number 16: N(E_F) 1.591 states/eV/atom. Number 17: N(E_F) 0.833 states/eV/atom. Number 18: N(E_F) 0.604 states/eV/atom. Number 19: N(E_F) 0.950 states/eV/atom. Number 20: N(E_F) 0.390 states/eV/atom.